## DyBeH2O4 (GGA-PBE)

Data for a relaxed DyBeH2O4 crystal.

```
data_DyBeH2O4
_space_group_name_H-M_alt 'I 2 2 2'
_space_group_IT_number 23
_cell_length_a 4.300
_cell_length_b 5.344
_cell_length_c 5.864
_cell_angle_alpha 90.00
_cell_angle_beta 90.00
_cell_angle_gamma 90.00
loop_
_space_group_symop_operation_xyz
'x,y,z'
'-x,-y,z'
'x,-y,-z'
'-x,y,-z'
'x+1/2,y+1/2,z+1/2'
'-x+1/2,-y+1/2,z+1/2'
'x+1/2,-y+1/2,-z+1/2'
'-x+1/2,y+1/2,-z+1/2'
loop_
_atom_site_label
_atom_site_type_symbol
_atom_site_fract_x
_atom_site_fract_y
_atom_site_fract_z
_atom_site_occupancy
Dy1 Dy 0.000 0.000 0.000 1
Be1 Be 0.000 0.000 0.500 1
H1 H 0.000 0.500 0.169 1
O1 O 0.235 0.368 0.833 1
```

Computed properties:
**Density**: 5.9 Mg/m³
**V**: 134.74 Å³ per cell
**Energy**: -50.3 eV per formula unit